(1)
Compound: Th3Sb2C2
Source: Alexandria
Functional: PBE-GGA
Structure: optimized geometry

Calculated values
* calculated volume: 26.53 A^3/atom
* symmetry: P2_1/c
* ΔE_f (raw): -0.421 eV/atom

Lattice parameters (Å, degrees): 8.266 7.084 6.988 90.00 65.19 90.00
Fractional positions:
1 Th 0.500 0.500 0.000
2 Th 0.000 0.000 0.000
3 Th 0.823 0.181 0.594
4 Th 0.677 0.681 0.406
5 Th 0.323 0.319 0.594
6 Th 0.177 0.819 0.406
7 Sb 0.928 0.571 0.853
8 Sb 0.428 0.929 0.853
9 Sb 0.572 0.071 0.147
10 Sb 0.072 0.429 0.147
11 C 0.588 0.416 0.643
12 C 0.912 0.916 0.357
13 C 0.088 0.084 0.643
14 C 0.412 0.584 0.357

---

(2)
Compound: Th8SbC6
Source: Alexandria
Functional: PBE-GGA
Structure: optimized geometry

Calculated values
* calculated volume: 24.08 A^3/atom
* N(E_F): 9.512 states/eV per cell
* symmetry: R-3
* ΔE_f (raw): -0.130 eV/atom

Lattice parameters (Å, degrees): 7.123 7.123 7.123 91.09 91.09 91.09
Fractional positions:
1 Th 0.729 0.729 0.729
2 Th 0.271 0.271 0.271
3 Th 0.610 0.858 0.292
4 Th 0.858 0.292 0.610
5 Th 0.292 0.610 0.858
6 Th 0.390 0.142 0.708
7 Th 0.142 0.708 0.390
8 Th 0.708 0.390 0.142
9 Sb 0.000 0.000 0.000
10 C 0.605 0.420 0.816
11 C 0.420 0.816 0.605
12 C 0.816 0.605 0.420
13 C 0.395 0.580 0.184
14 C 0.580 0.184 0.395
15 C 0.184 0.395 0.580

---

(3)
Compound: Th4Sb3C
Source: Alexandria
Functional: PBE-GGA
Structure: optimized geometry

Calculated values
* calculated volume: 30.30 A^3/atom
* N(E_F): 10.472 states/eV per cell
* symmetry: Pmn2_1
* ΔE_f (raw): -0.591 eV/atom

Lattice parameters (Å, degrees): 6.294 6.307 12.216 90.00 90.00 90.00
Fractional positions:
1 Th 0.062 0.805 0.000
2 Th 0.625 0.241 0.000
3 Th 0.064 0.240 0.214
4 Th 0.564 0.760 0.286
5 Th 0.125 0.759 0.500
6 Th 0.562 0.195 0.500
7 Th 0.564 0.760 0.714
8 Th 0.064 0.240 0.786
9 Sb 0.562 0.742 0.000
10 Sb 0.065 0.739 0.250
11 Sb 0.565 0.261 0.250
12 Sb 0.062 0.258 0.500
13 Sb 0.565 0.261 0.750
14 Sb 0.065 0.739 0.750
15 C 0.008 0.187 0.000
16 C 0.508 0.813 0.500

---

- calculated volume of number 2 (Th8SbC6)?
  24.08 A^3/atom